[1]
LiTbMnRu after structural relaxation. Source: the Alexandria database, functional GGA-PBE.

POSCAR file:
```
LiTbMnRu
1.0
0.000 3.272 3.272
3.272 0.000 3.272
3.272 3.272 0.000
Li Tb Mn Ru
1 1 1 1
direct
0.000 0.000 0.000 Li
0.750 0.750 0.750 Tb
0.250 0.250 0.250 Mn
0.500 0.500 0.500 Ru
```

Summary:
**Formation energy from the elements**: 0.042 eV/atom
**Fermi-level density of states**: 2.2 states/eV/cell
**Total magnetic moment**: 1.067 μB/atom
**Symmetry**: F-43m
**Total energy**: -6.205 eV/atom


[2]
LiTmMnRu after structural relaxation. Source: the Alexandria database, functional GGA-PBE.

POSCAR file:
```
LiTmMnRu
1.0
0.000 3.236 3.236
3.236 0.000 3.236
3.236 3.236 0.000
Li Tm Mn Ru
1 1 1 1
direct
0.000 0.000 0.000 Li
0.750 0.750 0.750 Tm
0.250 0.250 0.250 Mn
0.500 0.500 0.500 Ru
```

Summary:
**Formation energy from the elements**: -0.012 eV/atom
**Fermi-level density of states**: 2.5 states/eV/cell
**Total magnetic moment**: 1.057 μB/atom
**Symmetry**: F-43m
**Total energy**: -6.219 eV/atom


[3]
LiUMnRu after structural relaxation. Source: the Alexandria database, functional GGA-PBE.

POSCAR file:
```
LiUMnRu
1.0
0.000 3.123 3.123
3.123 0.000 3.123
3.123 3.123 0.000
Li U Mn Ru
1 1 1 1
direct
0.000 0.000 0.000 Li
0.500 0.500 0.500 U
0.250 0.250 0.250 Mn
0.750 0.750 0.750 Ru
```

Summary:
**Formation energy from the elements**: 0.103 eV/atom
**Fermi-level density of states**: 7.3 states/eV/cell
**Total magnetic moment**: 0.045 μB/atom
**Symmetry**: F-43m
**Total energy**: -7.809 eV/atom


[4]
LiMnVRu after structural relaxation. Source: the Alexandria database, functional GGA-PBE.

POSCAR file:
```
LiMnVRu
1.0
0.000 2.951 2.951
2.951 0.000 2.951
2.951 2.951 0.000
Li Mn V Ru
1 1 1 1
direct
0.000 0.000 0.000 Li
0.750 0.750 0.750 Mn
0.500 0.500 0.500 V
0.250 0.250 0.250 Ru
```

Summary:
**Formation energy from the elements**: 0.016 eV/atom
**Fermi-level density of states**: 3.9 states/eV/cell
**Total magnetic moment**: 0.575 μB/atom
**Symmetry**: F-43m
**Total energy**: -7.354 eV/atom


[5]
LiMnZnRu after structural relaxation. Source: the Alexandria database, functional GGA-PBE.

POSCAR file:
```
LiMnZnRu
1.0
0.000 2.903 2.903
2.903 0.000 2.903
2.903 2.903 0.000
Li Mn Zn Ru
1 1 1 1
direct
0.000 0.000 0.000 Li
0.500 0.500 0.500 Mn
0.750 0.750 0.750 Zn
0.250 0.250 0.250 Ru
```

Summary:
**Formation energy from the elements**: 0.058 eV/atom
**Fermi-level density of states**: 2.0 states/eV/cell
**Total magnetic moment**: 0.047 μB/atom
**Symmetry**: F-43m
**Total energy**: -5.350 eV/atom


[6]
LiMn2ZnRu after structural relaxation. Source: the Alexandria database, functional GGA-PBE.

POSCAR file:
```
LiMn2ZnRu
1.0
4.398 0.000 0.000
0.000 4.398 0.000
0.000 0.000 4.580
Li Mn Zn Ru
1 2 1 1
direct
0.000 0.000 0.000 Li
0.000 0.500 0.500 Mn
0.500 0.000 0.500 Mn
0.500 0.500 0.500 Zn
0.500 0.500 0.000 Ru
```

Summary:
**Formation energy from the elements**: 1.667 eV/atom
**Fermi-level density of states**: 7.7 states/eV/cell
**Total magnetic moment**: 0.131 μB/atom
**Symmetry**: P4/mmm
**Total energy**: -4.493 eV/atom